# NaHSe2O6 | the Alexandria database | PBE-GGA | relaxed
# **Total magnetic moment**: 0.0000 μB/atom
# **E**: -4.923 eV per atom
data_NaHSe2O6
_chemical_formula_sum 'Na4 H4 Se8 O24'
_cell_length_a 9.7967
_cell_length_b 10.2215
_cell_length_c 6.8678
_cell_angle_alpha 90.00
_cell_angle_beta 111.64
_cell_angle_gamma 90.00
_space_group_name_H-M_alt 'C 1 2/c 1'
_space_group_IT_number 15
_space_group_name_Hall '-C 2yc'
loop_
_atom_site_label
_atom_site_type_symbol
_atom_site_fract_x
_atom_site_fract_y
_atom_site_fract_z
_atom_site_occupancy
Na1 Na 0.0000 0.1430 0.2500 1
H1 H 0.0000 0.1026 0.7500 1
Se1 Se 0.2238 0.4215 0.2155 1
O1 O 0.0866 0.0885 0.6628 1
O2 O 0.1565 0.2729 0.1518 1
O3 O 0.1861 0.4755 0.5013 1

# TaMo4W3 | the Alexandria database | PBE-GGA | relaxed
# **Total magnetic moment**: 0.0000 μB/atom
# **E**: -11.818 eV per atom
data_TaMo4W3
_chemical_formula_sum 'Ta2 Mo8 W6'
_cell_length_a 3.1854
_cell_length_b 4.5223
_cell_length_c 18.0118
_cell_angle_alpha 90.00
_cell_angle_beta 90.00
_cell_angle_gamma 90.00
_space_group_name_H-M_alt 'I m m m'
_space_group_IT_number 71
_space_group_name_Hall '-I 2 2'
loop_
_atom_site_label
_atom_site_type_symbol
_atom_site_fract_x
_atom_site_fract_y
_atom_site_fract_z
_atom_site_occupancy
Ta1 Ta 0.0000 0.0000 0.0000 1
Mo1 Mo 0.0000 0.5000 0.1253 1
Mo2 Mo 0.0000 0.5000 0.3729 1
W1 W 0.0000 0.0000 0.2496 1
W2 W 0.0000 0.0000 0.5000 1

# CeSmScIn | the Alexandria database | PBE-GGA | relaxed
# **Total magnetic moment**: 0.0026 μB/atom
# **E**: -5.010 eV per atom
data_CeSmScIn
_chemical_formula_sum 'Ce4 Sm4 Sc4 In4'
_cell_length_a 7.5082
_cell_length_b 7.5082
_cell_length_c 7.5082
_cell_angle_alpha 90.00
_cell_angle_beta 90.00
_cell_angle_gamma 90.00
_space_group_name_H-M_alt 'F -4 3 m'
_space_group_IT_number 216
_space_group_name_Hall 'F -4 2 3'
loop_
_atom_site_label
_atom_site_type_symbol
_atom_site_fract_x
_atom_site_fract_y
_atom_site_fract_z
_atom_site_occupancy
Ce1 Ce 0.0000 0.0000 0.0000 1
Sm1 Sm 0.2500 0.2500 0.2500 1
Sc1 Sc 0.2500 0.2500 0.7500 1
In1 In 0.0000 0.0000 0.5000 1